Density functional theory data (PBE) for a geometry-optimized Cs2IrPt structure.

Properties
Final energy in eV per atom: -3.64

a b c (Å): 12.4256 12.4256 4.8757
angles (deg): 90.00 90.00 90.00
Space group I-42d (No. 122)
Unique sites:
1 Cs 0.0833 0.2500 0.1250 (multiplicity 8)
2 Ir 0.0000 0.0000 0.0000 (multiplicity 4)
3 Pt 0.0000 0.0000 0.5000 (multiplicity 4)

Density functional theory data (PBE) for a geometry-optimized Cs3IrPt structure.

Properties
Final energy in eV per atom: -2.64

a b c (Å): 6.5033 6.5033 6.5033
angles (deg): 90.00 90.00 90.00
Space group Pm-3m (No. 221)
Unique sites:
1 Cs 0.0000 0.0000 0.5000 (multiplicity 3)
2 Ir 0.5000 0.5000 0.5000 (multiplicity 1)
3 Pt 0.0000 0.0000 0.0000 (multiplicity 1)

Density functional theory data (PBE) for a geometry-optimized Cs2IrPt structure.

Properties
Final energy in eV per atom: -2.77

a b c (Å): 7.9011 7.9011 7.9011
angles (deg): 90.00 90.00 90.00
Space group Fm-3m (No. 225)
Unique sites:
1 Cs 0.2500 0.2500 0.2500 (multiplicity 8)
2 Ir 0.0000 0.0000 0.0000 (multiplicity 4)
3 Pt 0.0000 0.0000 0.5000 (multiplicity 4)

Density functional theory data (PBE) for a geometry-optimized CsIr3Pt structure.

Properties
Final energy in eV per atom: -5.01

a b c (Å): 4.9876 4.9876 4.9876
angles (deg): 90.00 90.00 90.00
Space group Pm-3m (No. 221)
Unique sites:
1 Cs 0.0000 0.0000 0.0000 (multiplicity 1)
2 Ir 0.0000 0.5000 0.5000 (multiplicity 3)
3 Pt 0.5000 0.5000 0.5000 (multiplicity 1)

Density functional theory data (PBE) for a geometry-optimized CsRbIr2Pt structure.

Properties
Final energy in eV per atom: -2.65

a b c (Å): 5.2523 5.2523 5.5160
angles (deg): 90.00 90.00 90.00
Space group P4/mmm (No. 123)
Unique sites:
1 Cs 0.0000 0.0000 0.0000 (multiplicity 1)
2 Rb 0.5000 0.5000 0.5000 (multiplicity 1)
3 Ir 0.0000 0.5000 0.5000 (multiplicity 2)
4 Pt 0.5000 0.5000 0.0000 (multiplicity 1)

Density functional theory data (PBE) for a geometry-optimized CsRb2IrPt structure.

Properties
Final energy in eV per atom: -2.14

a b c (Å): 7.0738 7.0738 5.4578
angles (deg): 90.00 90.00 90.00
Space group P4/mmm (No. 123)
Unique sites:
1 Cs 0.0000 0.0000 0.0000 (multiplicity 1)
2 Rb 0.0000 0.5000 0.0000 (multiplicity 2)
3 Ir 0.5000 0.5000 0.5000 (multiplicity 1)
4 Pt 0.0000 0.0000 0.5000 (multiplicity 1)

Density functional theory data (PBE) for a geometry-optimized Cs2IrPtS4 structure.

Properties
ΔE_f (raw) in eV per formula unit: -4.2

a b c (Å): 5.8544 14.1937 24.3067
angles (deg): 90.00 90.00 90.00
Space group Fddd (No. 70, origin choice 2)
Unique sites:
1 Cs 0.1250 0.1250 0.3049 (multiplicity 16)
2 Ir 0.1250 0.1250 0.1250 (multiplicity 8)
3 Pt 0.1250 0.1250 0.6250 (multiplicity 8)
4 S 0.1121 0.2846 0.4269 (multiplicity 32)

Density functional theory data (PBE) for a geometry-optimized CsSbIr2Pt structure.

Properties
ΔE_f (raw) in eV per formula unit: 14.9

a b c (Å): 4.9519 4.9519 5.7896
angles (deg): 90.00 90.00 90.00
Space group P4/mmm (No. 123)
Unique sites:
1 Cs 0.0000 0.0000 0.0000 (multiplicity 1)
2 Sb 0.0000 0.0000 0.5000 (multiplicity 1)
3 Ir 0.0000 0.5000 0.0000 (multiplicity 2)
4 Pt 0.5000 0.5000 0.5000 (multiplicity 1)

| no. | magnetic moment (μB per cell) | N(E_F) (states/eV/f.u.) |
| --- | --- | --- |
| 1 | 0.00 | 4.29 |
| 2 | 1.86 | 3.69 |
| 3 | 10.24 | 7.39 |
| 4 | 3.45 | 5.41 |
| 5 | 1.89 | 6.75 |
| 6 | 1.65 | 6.91 |
| 7 | 0.00 | 3.36 |
| 8 | 0.00 | 7.43 |